Entry 1:
Pr2ZnNi5Ir2 | PBE | optimized geometry

Lattice parameters (Å, degrees): 9.522 9.522 3.641 90.00 90.00 90.00
Space group P4/mbm (No. 127)
One atom of each set of equivalent atoms:
Pr: 0.172 0.328 0.000 (multiplicity 4)
Zn: 0.000 0.000 0.000 (multiplicity 2)
Ni: 0.000 0.500 0.500 (multiplicity 2)
Ni: 0.057 0.812 0.500 (multiplicity 8)
Ir: 0.129 0.629 0.000 (multiplicity 4)

Values from the calculation:
Theoretical density ... 10.313 Mg/m³
Energy of formation from the pure elements ... -99 meV/atom

Entry 2:
Na3PdN | PBE | optimized geometry

Lattice parameters (Å, degrees): 5.414 5.414 5.414 90.00 90.00 90.00
Space group Pm-3m (No. 221)
One atom of each set of equivalent atoms:
Na: 0.000 0.000 0.500 (multiplicity 3)
Pd: 0.000 0.000 0.000 (multiplicity 1)
N: 0.500 0.500 0.500 (multiplicity 1)

Values from the calculation:
Theoretical density ... 1.982 Mg/m³
Energy relative to the elements, uncorrected ... 0.9566 eV/atom

Entry 3:
Sc2MnAl | PBE | optimized geometry

Lattice parameters (Å, degrees): 4.220 4.220 8.230 90.00 90.00 90.00
Space group I-4m2 (No. 119)
One atom of each set of equivalent atoms:
Sc: 0.000 0.000 0.000 (multiplicity 2)
Sc: 0.000 0.500 0.250 (multiplicity 2)
Mn: 0.000 0.000 0.500 (multiplicity 2)
Al: 0.000 0.500 0.750 (multiplicity 2)

Values from the calculation:
Theoretical density ... 3.894 Mg/m³
Energy of formation from the pure elements ... -118 meV/atom

Entry 4:
PaAsF | PBE | optimized geometry

Lattice parameters (Å, degrees): 4.0782 4.0782 3.9298 90.00 90.00 120.00
Space group P-6m2 (No. 187)
One atom of each set of equivalent atoms:
Pa: 0.0000 0.0000 0.0000 (multiplicity 1)
As: 0.6667 0.3333 0.5000 (multiplicity 1)
F: 0.3333 0.6667 0.0000 (multiplicity 1)

Values from the calculation:
Theoretical density ... 9.533 Mg/m³
Energy relative to the elements, uncorrected ... -2.0401 eV/atom

Entry 5:
RbCu2Se3 | PBE | optimized geometry

Lattice parameters (Å, degrees): 7.358 15.448 5.531 90.00 90.00 90.00
Space group Cmcm (No. 63)
One atom of each set of equivalent atoms:
Rb: 0.000 0.223 0.250 (multiplicity 4)
Cu: 0.183 0.500 0.000 (multiplicity 8)
Se: 0.000 0.399 0.750 (multiplicity 4)
Se: 0.166 0.107 0.750 (multiplicity 8)

Values from the calculation:
Theoretical density ... 4.748 Mg/m³
Energy relative to the elements, uncorrected ... -0.4424 eV/atom

Entry 6:
LaP2RuS | PBE | optimized geometry

Lattice parameters (Å, degrees): 4.483 4.483 5.178 90.00 90.00 90.00
Space group P4/mmm (No. 123)
One atom of each set of equivalent atoms:
La: 0.000 0.000 0.000 (multiplicity 1)
P: 0.000 0.500 0.500 (multiplicity 2)
Ru: 0.500 0.500 0.500 (multiplicity 1)
S: 0.500 0.500 0.000 (multiplicity 1)

Values from the calculation:
Theoretical density ... 5.329 Mg/m³
Energy relative to the elements, uncorrected ... -0.5425 eV/atom

Entry 7:
YErIrRu | PBE | optimized geometry

Lattice parameters (Å, degrees): 6.802 6.802 6.802 90.00 90.00 90.00
Space group F-43m (No. 216)
One atom of each set of equivalent atoms:
Y: 0.000 0.000 0.000 (multiplicity 4)
Er: 0.000 0.000 0.500 (multiplicity 4)
Ir: 0.250 0.250 0.250 (multiplicity 4)
Ru: 0.250 0.250 0.750 (multiplicity 4)

Values from the calculation:
Theoretical density ... 11.596 Mg/m³
Energy of formation from the pure elements ... -621 meV/atom

Entry 8:
CrCuPb2 | PBE | optimized geometry

Lattice parameters (Å, degrees): 6.967 7.022 3.533 90.00 90.98 90.00
Space group C2/m (No. 12)
One atom of each set of equivalent atoms:
Cr: 0.000 0.000 0.000 (multiplicity 2)
Cu: 0.000 0.500 0.000 (multiplicity 2)
Pb: 0.250 0.250 0.500 (multiplicity 4)

Values from the calculation:
Theoretical density ... 10.184 Mg/m³
Energy of formation from the pure elements ... 451 meV/atom

Entry 9:
KBe3Tl | PBE | optimized geometry

Lattice parameters (Å, degrees): 4.777 4.777 4.777 90.00 90.00 90.00
Space group Pm-3m (No. 221)
One atom of each set of equivalent atoms:
K: 0.000 0.000 0.000 (multiplicity 1)
Be: 0.000 0.500 0.500 (multiplicity 3)
Tl: 0.500 0.500 0.500 (multiplicity 1)

Values from the calculation:
Theoretical density ... 4.120 Mg/m³
Energy of formation from the pure elements ... 1083 meV/atom

Entry 10:
Ac2SmPuN5 | PBE | optimized geometry

Lattice parameters (Å, degrees): 3.742 14.763 11.372 90.00 90.00 90.00
Space group Cmc2_1 (No. 36)
One atom of each set of equivalent atoms:
Ac: 0.000 0.104 0.000 (multiplicity 4)
Ac: 0.000 0.138 0.582 (multiplicity 4)
Sm: 0.000 0.226 0.315 (multiplicity 4)
Pu: 0.000 0.470 0.771 (multiplicity 4)
N: 0.000 0.059 0.363 (multiplicity 4)
N: 0.000 0.273 0.970 (multiplicity 4)
N: 0.000 0.339 0.704 (multiplicity 4)
N: 0.000 0.393 0.320 (multiplicity 4)
N: 0.000 0.489 0.093 (multiplicity 4)

Values from the calculation:
Theoretical density ... 9.710 Mg/m³
Energy relative to the elements, uncorrected ... -1.0298 eV/atom

Entry 11:
Cu5Pd2Rh | PBE | optimized geometry

Lattice parameters (Å, degrees): 3.922 3.922 13.777 90.00 90.00 90.00
Space group I4/mmm (No. 139)
One atom of each set of equivalent atoms:
Cu: 0.000 0.000 0.000 (multiplicity 2)
Cu: 0.000 0.500 0.121 (multiplicity 8)
Pd: 0.000 0.000 0.251 (multiplicity 4)
Rh: 0.000 0.000 0.500 (multiplicity 2)

Values from the calculation:
Theoretical density ... 9.928 Mg/m³
Energy of formation from the pure elements ... -22 meV/atom

Entry 12:
CrPRh2 | PBE | optimized geometry

Lattice parameters (Å, degrees): 2.7609 2.7609 23.8776 90.00 90.00 120.00
Space group R3m (No. 160, hexagonal axes)
One atom of each set of equivalent atoms:
Cr: 0.0000 0.0000 0.0000 (multiplicity 3)
P: 0.0000 0.0000 0.7422 (multiplicity 3)
Rh: 0.0000 0.0000 0.2505 (multiplicity 3)
Rh: 0.0000 0.0000 0.4837 (multiplicity 3)

Values from the calculation:
Theoretical density ... 9.127 Mg/m³
Energy of formation from the pure elements ... -148 meV/atom

Entry 13:
Ca2PtBr | PBE | optimized geometry

Lattice parameters (Å, degrees): 4.1473 4.1473 22.4869 90.00 90.00 120.00
Space group R-3m (No. 166, hexagonal axes)
One atom of each set of equivalent atoms:
Ca: 0.0000 0.0000 0.2362 (multiplicity 6)
Pt: 0.0000 0.0000 0.5000 (multiplicity 3)
Br: 0.0000 0.0000 0.0000 (multiplicity 3)

Values from the calculation:
Theoretical density ... 5.280 Mg/m³
Energy relative to the elements, uncorrected ... -1.2135 eV/atom

Entry 14:
TeOsCl2 | PBE | optimized geometry

Lattice parameters (Å, degrees): 3.812 4.562 12.867 90.00 90.00 90.00
Space group Amm2 (No. 38)
One atom of each set of equivalent atoms:
Te: 0.000 0.000 0.000 (multiplicity 2)
Os: 0.500 0.000 0.871 (multiplicity 2)
Cl: 0.000 0.000 0.734 (multiplicity 2)
Cl: 0.500 0.000 0.322 (multiplicity 2)

Values from the calculation:
Theoretical density ... 5.770 Mg/m³
Energy relative to the elements, uncorrected ... -0.0403 eV/atom

Entry 15:
BiPO4F | PBE | optimized geometry

Lattice parameters (Å, degrees): 9.281 7.109 6.727 90.00 107.43 90.00
Space group C2/m (No. 12)
One atom of each set of equivalent atoms:
Bi: 0.211 0.000 0.135 (multiplicity 4)
P: 0.155 0.500 0.271 (multiplicity 4)
O: 0.006 0.500 0.707 (multiplicity 4)
O: 0.186 0.330 0.144 (multiplicity 8)
O: 0.245 0.000 0.500 (multiplicity 4)
F: 0.022 0.000 0.824 (multiplicity 4)

Values from the calculation:
Theoretical density ... 5.065 Mg/m³
Energy relative to the elements, uncorrected ... -1.7715 eV/atom

Entry 16:
TcAu3 | PBE | optimized geometry

Lattice parameters (Å, degrees): 5.275 5.275 5.275 90.00 90.00 90.00
Space group Pm-3n (No. 223)
One atom of each set of equivalent atoms:
Tc: 0.000 0.000 0.000 (multiplicity 2)
Au: 0.000 0.250 0.500 (multiplicity 6)

Values from the calculation:
Theoretical density ... 15.588 Mg/m³
Energy of formation from the pure elements ... 496 meV/atom

Entry 17:
Na2SrMnH6 | PBE | optimized geometry

Lattice parameters (Å, degrees): 7.830 7.830 7.830 90.00 90.00 90.00
Space group Fm-3m (No. 225)
One atom of each set of equivalent atoms:
Na: 0.250 0.250 0.250 (multiplicity 8)
Sr: 0.000 0.000 0.000 (multiplicity 4)
Mn: 0.000 0.000 0.500 (multiplicity 4)
H: 0.000 0.000 0.291 (multiplicity 24)

Values from the calculation:
Theoretical density ... 2.692 Mg/m³
Total energy ... -3.493 eV per atom

Entry 18:
ReSi2Sb | PBE | optimized geometry

Lattice parameters (Å, degrees): 3.369 4.880 8.071 90.00 90.00 90.00
Space group Imm2 (No. 44)
One atom of each set of equivalent atoms:
Re: 0.000 0.000 0.000 (multiplicity 2)
Si: 0.000 0.000 0.546 (multiplicity 2)
Si: 0.000 0.500 0.262 (multiplicity 2)
Sb: 0.000 0.500 0.790 (multiplicity 2)

Values from the calculation:
Theoretical density ... 9.115 Mg/m³
Energy relative to the elements, uncorrected ... 0.5792 eV/atom

Entry 19:
Rb5PdSeO2 | PBE | optimized geometry

Lattice parameters (Å, degrees): 5.637 5.637 9.462 90.00 90.00 90.00
Space group P4/mmm (No. 123)
One atom of each set of equivalent atoms:
Rb: 0.000 0.000 0.000 (multiplicity 1)
Rb: 0.000 0.500 0.260 (multiplicity 4)
Pd: 0.000 0.000 0.500 (multiplicity 1)
Se: 0.500 0.500 0.000 (multiplicity 1)
O: 0.000 0.000 0.293 (multiplicity 2)

Values from the calculation:
Theoretical density ... 3.560 Mg/m³
Energy relative to the elements, uncorrected ... -0.9518 eV/atom

Entry 20:
MoS2N | PBE | optimized geometry

Lattice parameters (Å, degrees): 3.3293 3.3293 18.4673 90.00 90.00 120.00
Space group R-3m (No. 166, hexagonal axes)
One atom of each set of equivalent atoms:
Mo: 0.0000 0.0000 0.0000 (multiplicity 3)
S: 0.0000 0.0000 0.4148 (multiplicity 6)
N: 0.0000 0.0000 0.5000 (multiplicity 3)

Values from the calculation:
Theoretical density ... 4.892 Mg/m³
Energy relative to the elements, uncorrected ... 0.3232 eV/atom